{
  "formula": "InCo2S",
  "functional": "PBE-GGA",
  "state": "relaxed",
  "polymorph_energy_mev_per_atom": 305,
  "e_form_raw_ev_per_atom": 0.392,
  "mass_density_g_cm3": 7.7,
  "m_tot_mub_per_cell": 10.2,
  "dft_energy_ev_per_cell": -78.04,
  "lattice": [[6.1213, 0.0000, 0.0000], [0.0000, 6.1213, 0.0000], [0.0000, 0.0000, 6.1213]],
  "species": ["In", "In", "In", "In", "Co", "Co", "Co", "Co", "Co", "Co", "Co", "Co", "S", "S", "S", "S"],
  "frac_coords": [[0.0000, 0.0000, 0.0000], [0.0000, 0.5000, 0.5000], [0.5000, 0.0000, 0.5000], [0.5000, 0.5000, 0.0000], [0.2500, 0.2500, 0.2500], [0.2500, 0.2500, 0.7500], [0.2500, 0.7500, 0.2500], [0.2500, 0.7500, 0.7500], [0.7500, 0.2500, 0.2500], [0.7500, 0.2500, 0.7500], [0.7500, 0.7500, 0.2500], [0.7500, 0.7500, 0.7500], [0.0000, 0.0000, 0.5000], [0.0000, 0.5000, 0.0000], [0.5000, 0.0000, 0.0000], [0.5000, 0.5000, 0.5000]]
}